Compound: Ba2Li3Cd2
Source: Alexandria
Functional: PBE-GGA
Structure: optimized geometry

Calculated values
DOS at the Fermi energy: 0.5866 states/eV/atom
ρ: 3.94 g cm⁻³
uncorrected energy: -1.75 eV per atom
space group: C2/m, No. 12
ΔE_f: -0.12 eV per atom

Lattice parameters (Å, degrees): 4.3243 7.1729 8.0899 113.93 105.50 90.00
Sites, in units of the cell vectors:
Li  0.2042  0.5640  0.4084
Li  0.7958  0.4360  0.5916
Li  0.0000  0.5000  0.0000
Cd  0.5782  0.3684  0.1563
Cd  0.4218  0.6316  0.8437
Ba  0.1247  0.0130  0.2493
Ba  0.8753  0.9870  0.7507

---

Compound: Ba2LiCd
Source: Alexandria
Functional: PBE-GGA
Structure: optimized geometry

Calculated values
DOS at the Fermi energy: 1.4108 states/eV/atom
ρ: 3.59 g cm⁻³
uncorrected energy: -1.64 eV per atom
space group: R3m, No. 160
ΔE_f: 0.03 eV per atom

Lattice parameters (Å, degrees): 4.4466 4.4466 10.9435 78.28 78.28 60.00
Sites, in units of the cell vectors:
Li  0.5001  0.5001  0.4996
Ba  0.0781  0.0781  0.7656
Ba  0.2555  0.2555  0.2335
Cd  0.6662  0.6662  0.0013

---

Compound: BaLi3Cd
Source: Alexandria
Functional: PBE-GGA
Structure: optimized geometry

Calculated values
DOS at the Fermi energy: 0.8535 states/eV/atom
ρ: 3.04 g cm⁻³
uncorrected energy: -1.75 eV per atom
E above lowest polymorph: 2 meV per atom
space group: P6_3/mmc, No. 194
ΔE_f: -0.04 eV per atom

Lattice parameters (Å, degrees): 7.2318 7.2318 13.0338 90.00 90.00 120.00
Sites, in units of the cell vectors:
Cd  0.6667  0.3333  0.1365
Cd  0.3333  0.6667  0.8635
Cd  0.6667  0.3333  0.3635
Cd  0.3333  0.6667  0.6365
Li  0.1436  0.2871  0.7500
Li  0.5000  0.0000  0.5000
Li  0.5000  0.5000  0.5000
Li  0.0000  0.5000  0.0000
Li  0.5000  0.5000  0.0000
Li  0.5000  0.0000  0.0000
Li  0.8564  0.7129  0.2500
Li  0.8564  0.1436  0.2500
Li  0.0000  0.5000  0.5000
Li  0.7129  0.8564  0.7500
Li  0.1436  0.8564  0.7500
Li  0.2871  0.1436  0.2500
Ba  0.3333  0.6667  0.2500
Ba  0.6667  0.3333  0.7500
Ba  0.0000  0.0000  0.5000
Ba  0.0000  0.0000  0.0000

---

Compound: Ba2Li16Cd
Source: Alexandria
Functional: PBE-GGA
Structure: optimized geometry

Calculated values
DOS at the Fermi energy: 0.5384 states/eV/atom
ρ: 1.74 g cm⁻³
uncorrected energy: -1.88 eV per atom
space group: R3m, No. 160
ΔE_f: -0.01 eV per atom

Lattice parameters (Å, degrees): 7.8505 7.8505 7.8505 83.29 83.29 83.29
Sites, in units of the cell vectors:
Li  0.8631  0.3384  0.3384
Li  0.2765  0.9988  0.7233
Li  0.9968  0.9968  0.5082
Li  0.0936  0.0936  0.0936
Li  0.1311  0.6647  0.6647
Li  0.6647  0.6647  0.1311
Li  0.5082  0.9968  0.9968
Li  0.7233  0.2765  0.9988
Li  0.9988  0.7233  0.2765
Li  0.9968  0.5082  0.9968
Li  0.6647  0.1311  0.6647
Li  0.3384  0.8631  0.3384
Li  0.3384  0.3384  0.8631
Li  0.7233  0.9988  0.2765
Li  0.9988  0.2765  0.7233
Li  0.2765  0.7233  0.9988
Ba  0.6523  0.6523  0.6523
Ba  0.3494  0.3494  0.3494
Cd  0.9053  0.9053  0.9053

---

Compound: BaLi2Cd
Source: Alexandria
Functional: PBE-GGA
Structure: optimized geometry

Calculated values
DOS at the Fermi energy: 0.9639 states/eV/atom
ρ: 3.28 g cm⁻³
uncorrected energy: -1.63 eV per atom
space group: Cmmm, No. 65
ΔE_f: 0.04 eV per atom

Lattice parameters (Å, degrees): 5.0204 5.0204 5.2979 90.00 90.00 90.13
Sites, in units of the cell vectors:
Li  0.0000  0.0000  0.0000
Li  0.5000  0.5000  0.0000
Cd  0.0000  0.5000  0.5000
Ba  0.5000  0.0000  0.5000

---

Compound: BaLi2Cd
Source: Alexandria
Functional: PBE-GGA
Structure: optimized geometry

Calculated values
DOS at the Fermi energy: 0.6608 states/eV/atom
ρ: 3.47 g cm⁻³
uncorrected energy: -1.60 eV per atom
space group: C2/m, No. 12
ΔE_f: 0.06 eV per atom

Lattice parameters (Å, degrees): 6.5819 5.9232 3.7927 86.37 74.95 115.58
Sites, in units of the cell vectors:
Ba  0.5000  0.5000  0.0000
Li  0.0000  0.0000  0.0000
Li  0.0000  0.5000  0.5000
Cd  0.5000  0.0000  0.5000

---

Compound: Ba2LiCd
Source: Alexandria
Functional: PBE-GGA
Structure: optimized geometry

Calculated values
DOS at the Fermi energy: 0.9221 states/eV/atom
ρ: 3.91 g cm⁻³
uncorrected energy: -1.82 eV per atom
space group: Amm2, No. 38
ΔE_f: -0.15 eV per atom

Lattice parameters (Å, degrees): 5.3627 4.8284 6.8932 69.52 90.00 90.00
Sites, in units of the cell vectors:
Cd  0.0000  0.6856  0.5039
Li  0.5000  0.5668  0.7414
Ba  0.5000  0.2673  0.3404
Ba  0.0000  0.9803  0.9144

---

Compound: BaLi10Cd3
Source: Alexandria
Functional: PBE-GGA
Structure: optimized geometry

Calculated values
DOS at the Fermi energy: 0.4154 states/eV/atom
ρ: 2.58 g cm⁻³
uncorrected energy: -1.72 eV per atom
space group: Fm-3m, No. 225
ΔE_f: -0.02 eV per atom

Lattice parameters (Å, degrees): 9.9714 9.9714 9.9714 60.00 60.00 60.00
Sites, in units of the cell vectors:
Li  0.3455  0.6545  0.0000
Li  0.6545  0.3455  0.0000
Li  0.6545  0.0000  0.3455
Li  0.3922  0.3922  0.3922
Li  0.0000  0.3455  0.6545
Li  0.3455  0.0000  0.6545
Li  0.8234  0.3922  0.3922
Li  0.6078  0.1766  0.6078
Li  0.0000  0.3455  0.0000
Li  0.0000  0.6545  0.0000
Li  0.3922  0.8234  0.3922
Li  0.6078  0.6078  0.1766
Li  0.0000  0.0000  0.3455
Li  0.3922  0.3922  0.8234
Li  0.1766  0.6078  0.6078
Li  0.6078  0.6078  0.6078
Li  0.0000  0.0000  0.6545
Li  0.0000  0.6545  0.3455
Li  0.6545  0.0000  0.0000
Li  0.3455  0.0000  0.0000
Ba  0.2500  0.2500  0.2500
Ba  0.7500  0.7500  0.7500
Cd  0.7337  0.7337  0.2663
Cd  0.7337  0.2663  0.2663
Cd  0.2663  0.2663  0.7337
Cd  0.2663  0.7337  0.7337
Cd  0.7337  0.2663  0.7337
Cd  0.2663  0.7337  0.2663

---

What is the ρ in the eighth record? 2.58 g cm⁻³